# 1
## Pm2PtI (PBE-GGA)

Data for an optimized crystal structure of Pm2PtI.

CIF file:
```
data_Pm2PtI
_space_group_name_H-M_alt 'R -3 m'
_space_group_IT_number 166
_space_group_name_Hall '-R 3 2"'
_cell_length_a 4.2494
_cell_length_b 4.2494
_cell_length_c 24.1472
_cell_angle_alpha 90.00
_cell_angle_beta 90.00
_cell_angle_gamma 120.00
loop_
_atom_site_label
_atom_site_type_symbol
_atom_site_fract_x
_atom_site_fract_y
_atom_site_fract_z
_atom_site_occupancy
Pm1 Pm 0.0000 0.0000 0.2287 1
Pt1 Pt 0.0000 0.0000 0.5000 1
I1 I 0.0000 0.0000 0.0000 1
```

offset from the most stable computed form	0.0	meV per atom
formation energy (no corrections)	-4.51	eV/f.u.



# 2
## Dy2SbHRh6 (PBE-GGA)

Data for an optimized crystal structure of Dy2SbHRh6.

CIF file:
```
data_Dy2SbHRh6
_space_group_name_H-M_alt 'I m m m'
_space_group_IT_number 71
_space_group_name_Hall '-I 2 2'
_cell_length_a 6.172
_cell_length_b 6.283
_cell_length_c 8.800
_cell_angle_alpha 90.00
_cell_angle_beta 90.00
_cell_angle_gamma 90.00
loop_
_atom_site_label
_atom_site_type_symbol
_atom_site_fract_x
_atom_site_fract_y
_atom_site_fract_z
_atom_site_occupancy
Dy1 Dy 0.000 0.000 0.248 1
Sb1 Sb 0.000 0.500 0.500 1
H1 H 0.000 0.500 0.000 1
Rh1 Rh 0.000 0.500 0.219 1
Rh2 Rh 0.222 0.283 0.000 1
```



| no. | DOS at the Fermi energy (states/eV/cell) | total moment (μB per formula unit) | uncorrected energy (eV per atom) |
| --- | --- | --- | --- |
| 1 | 8.5 | 0.000 | -5.40 |
| 2 | 16.5 | 0.002 | -6.55 |